Entry from the Alexandria database: a relaxed structure of Sr4LiMn2Ga2O11 (PBE+U).

The calculated density comes out at 5.17 Mg/m³. The value obtained for the energy above the lowest structure with this stoichiometry is 1.9 meV per atom. The uncorrected energy is -125.709 eV for the cell shown. Its density of states at the Fermi level is 4.89 states/eV/cell.

Structure (extended XYZ):
```
20
Lattice="0.000 7.541 4.187 3.984 0.000 4.187 3.984 7.541 0.000" Properties=species:S:1:pos:R:3 pbc="T T T"
Sr 3.984 1.978 4.187
Sr 3.984 5.357 4.114
Sr 3.984 9.726 4.114
Sr 3.984 13.104 4.187
Li 3.984 7.541 2.851
Mn 1.992 3.771 2.047
Mn 5.975 11.312 6.234
Ga 5.618 7.541 6.025
Ga 2.350 7.541 6.025
O 1.553 1.745 2.028
O 5.429 7.541 4.163
O 2.431 5.796 2.028
O 1.992 3.771 4.153
O 3.984 4.083 6.288
O 6.414 9.287 6.215
O 2.538 7.541 4.163
O 3.984 7.541 6.888
O 5.536 13.337 6.215
O 3.984 11.000 6.288
O 5.975 11.312 8.341
```